Entry 1:
Material: PuTcPb2O6
Method: DFT, PBE
State: relaxed

Results
Size of the total moment ... 4.999 μB/f.u.
Mass density ... 9.02 Mg/m³
Formation energy (no corrections) ... -1.618 eV per atom
E ... -7.804 eV/atom

POSCAR file:
```
PuTcPb2O6
1.0
5.662 -2.884 0.000
5.662 2.884 0.000
-1.621 0.000 4.805
Pu Tc Pb O
1 1 2 6
Cartesian
0.000 0.000 0.000 Pu
4.852 0.000 2.402 Tc
1.803 0.000 3.749 Pb
7.901 0.000 1.055 Pb
1.442 0.000 1.349 O
4.391 1.355 1.081 O
5.313 1.355 3.723 O
4.391 -1.355 1.081 O
5.313 -1.355 3.723 O
8.262 0.000 3.456 O
```

***

Entry 2:
Material: RbAcPb
Method: DFT, PBE
State: relaxed

Results
Size of the total moment ... 0.248 μB/f.u.
Mass density ... 6.13 Mg/m³
Formation enthalpy at 0 K ... -23 kJ/mol of formula units
Energy relative to the lowest polymorph listed for this composition ... 0.0 meV per atom
E ... -3.006 eV/atom

POSCAR file:
```
RbAcPb
1.0
-2.000 2.000 8.802
2.000 -2.000 8.802
2.000 2.000 -8.802
Rb Ac Pb
1 1 1
Cartesian
0.000 0.000 0.000 Rb
0.000 0.000 4.724 Ac
0.000 0.000 11.452 Pb
```

***

Entry 3:
Material: Sc2Zn3Os
Method: DFT, PBE
State: relaxed

Results
Size of the total moment ... 0.000 μB/f.u.
Mass density ... 7.97 Mg/m³
Formation enthalpy at 0 K ... -214 kJ/mol of formula units
E ... -4.989 eV/atom

POSCAR file:
```
Sc2Zn3Os
1.0
2.559 1.478 4.377
-2.559 1.478 4.377
0.000 -2.955 4.377
Sc Zn Os
2 3 1
Cartesian
0.000 0.000 1.680 Sc
0.000 0.000 11.450 Sc
-1.280 -0.739 4.377 Zn
-1.280 0.739 8.753 Zn
0.000 1.478 4.377 Zn
0.000 0.000 6.565 Os
```

***

Entry 4:
Material: Tb2ZrCuS5
Method: DFT, PBE
State: relaxed

Results
Size of the total moment ... 0.000 μB/f.u.
Mass density ... 5.99 Mg/m³
Formation energy (no corrections) ... -1.599 eV per atom
E ... -6.326 eV/atom

POSCAR file:
```
Tb2ZrCuS5
1.0
1.869 -8.131 0.000
1.869 8.131 0.000
0.000 0.000 11.535
Tb Zr Cu S
4 2 2 10
Cartesian
1.869 6.282 5.767 Tb
1.869 6.088 1.535 Tb
1.869 -6.088 7.302 Tb
1.869 -6.282 0.000 Tb
1.869 5.108 9.531 Zr
1.869 -5.108 3.763 Zr
1.869 0.962 2.826 Cu
1.869 -0.962 8.593 Cu
1.869 7.554 9.831 S
1.869 3.359 5.603 S
1.869 3.108 1.886 S
1.869 2.438 9.448 S
1.869 0.106 6.614 S
1.869 -0.106 0.847 S
1.869 -2.438 3.680 S
1.869 -3.108 7.653 S
1.869 -3.359 11.370 S
1.869 -7.554 4.064 S
```

***

Entry 5:
Material: Li2Pu2Bi3
Method: DFT, PBE
State: relaxed

Results
Size of the total moment ... 12.163 μB/f.u.
Mass density ... 10.46 Mg/m³
Formation enthalpy at 0 K ... -250 kJ/mol of formula units
E ... -6.675 eV/atom

POSCAR file:
```
Li2Pu2Bi3
1.0
2.230 -12.541 0.000
2.230 12.541 0.000
0.000 0.000 3.205
Li Pu Bi
2 2 3
Cartesian
2.230 7.074 0.000 Li
2.230 -7.074 0.000 Li
2.230 10.505 0.000 Pu
2.230 -10.505 0.000 Pu
2.230 4.193 1.602 Bi
2.230 0.000 1.602 Bi
2.230 -4.193 1.602 Bi
```

***

Entry 6:
Material: CoNi2Br
Method: DFT, PBE
State: relaxed

Results
Size of the total moment ... 3.352 μB/f.u.
Mass density ... 6.88 Mg/m³
Energy relative to the lowest polymorph listed for this composition ... 128.7 meV per atom
Formation energy (no corrections) ... 0.516 eV per atom
E ... -4.570 eV/atom

POSCAR file:
```
CoNi2Br
1.0
2.944 -1.741 0.000
2.944 1.741 0.000
-2.089 0.000 6.031
Co Ni Br
1 2 1
Cartesian
0.000 0.000 0.000 Co
-0.098 0.000 4.847 Ni
3.897 0.000 1.184 Ni
1.899 0.000 3.016 Br
```

***

Entry 7:
Material: AlP2RuCl
Method: DFT, PBE
State: relaxed

Results
Size of the total moment ... 2.021 μB/f.u.
Mass density ... 3.84 Mg/m³
Energy relative to the lowest polymorph listed for this composition ... 499.9 meV per atom
Formation energy (no corrections) ... 0.871 eV per atom
E ... -4.266 eV/atom

POSCAR file:
```
AlP2RuCl
1.0
4.649 0.000 0.000
0.000 4.649 0.000
0.000 0.000 4.509
Al P Ru Cl
1 2 1 1
Cartesian
0.000 0.000 0.000 Al
0.000 2.324 0.000 P
2.324 0.000 0.000 P
2.324 2.324 2.255 Ru
0.000 0.000 2.255 Cl
```

***

Entry 8:
Material: Tc2BHI
Method: DFT, PBE
State: relaxed

Results
Size of the total moment ... 0.000 μB/f.u.
Mass density ... 8.54 Mg/m³
Energy relative to the lowest polymorph listed for this composition ... 0.0 meV per atom
E ... -4.918 eV/atom

POSCAR file:
```
Tc2BHI
1.0
4.031 0.000 0.000
0.000 4.031 0.000
0.000 0.000 4.005
Tc B H I
2 1 1 1
Cartesian
0.000 2.016 0.000 Tc
2.016 0.000 0.000 Tc
0.000 0.000 2.003 B
2.016 2.016 0.000 H
2.016 2.016 2.003 I
```

***

Entry 9:
Material: TbYNbN3
Method: DFT, PBE
State: relaxed

Results
Size of the total moment ... 0.000 μB/f.u.
Mass density ... 7.80 Mg/m³
Formation energy (no corrections) ... -1.405 eV per atom
E ... -9.095 eV/atom

POSCAR file:
```
TbYNbN3
1.0
5.771 0.000 0.000
0.000 3.350 0.000
-1.915 0.000 8.430
Tb Y Nb N
2 2 2 6
Cartesian
0.522 0.837 1.581 Tb
3.334 2.512 6.849 Tb
0.505 2.512 4.623 Y
3.351 0.837 3.807 Y
0.444 0.837 7.304 Nb
3.412 2.512 1.126 Nb
-0.960 0.837 5.748 N
-0.445 2.512 8.315 N
1.985 2.512 2.754 N
1.872 0.837 5.676 N
4.301 0.837 0.114 N
4.816 2.512 2.682 N
```

***

Entry 10:
Material: TmAlRh2
Method: DFT, PBE
State: relaxed

Results
Size of the total moment ... 0.000 μB/f.u.
Mass density ... 10.16 Mg/m³
Formation enthalpy at 0 K ... -372 kJ/mol of formula units
E ... -6.694 eV/atom

POSCAR file:
```
TmAlRh2
1.0
3.175 -4.572 0.000
3.175 4.572 0.000
0.000 0.000 4.522
Tm Al Rh
2 2 4
Cartesian
3.175 3.345 3.392 Tm
3.175 -3.345 1.131 Tm
3.175 1.121 1.131 Al
3.175 -1.121 3.392 Al
1.676 1.065 3.392 Rh
1.676 -1.065 1.131 Rh
4.674 1.065 3.392 Rh
4.674 -1.065 1.131 Rh
```

***

Entry 11:
Material: HoGePt2
Method: DFT, PBE
State: relaxed

Results
Size of the total moment ... 0.000 μB/f.u.
Mass density ... 13.52 Mg/m³
Formation enthalpy at 0 K ... -337 kJ/mol of formula units
E ... -6.193 eV/atom

POSCAR file:
```
HoGePt2
1.0
2.190 1.265 4.639
-2.190 1.265 4.639
0.000 -2.529 4.639
Ho Ge Pt
1 1 2
Cartesian
0.000 0.000 0.000 Ho
0.000 0.000 6.958 Ge
0.000 0.000 2.995 Pt
0.000 0.000 10.920 Pt
```

***

Entry 12:
Material: U4PC2N
Method: DFT, PBE
State: relaxed

Results
Size of the total moment ... 8.345 μB/f.u.
Mass density ... 12.27 Mg/m³
Formation energy (no corrections) ... -0.449 eV per atom
E ... -10.116 eV/atom

POSCAR file:
```
U4PC2N
1.0
1.855 -5.983 0.000
1.855 5.983 0.000
0.000 0.000 12.456
U P C N
8 2 4 2
Cartesian
0.000 0.000 0.000 U
0.000 0.000 6.228 U
1.855 2.739 7.551 U
1.855 2.739 11.132 U
1.855 0.764 3.114 U
1.855 -0.764 9.342 U
1.855 -2.739 1.324 U
1.855 -2.739 4.904 U
1.855 4.665 3.114 P
1.855 -4.665 9.342 P
1.855 1.585 0.844 C
1.855 1.585 5.383 C
1.855 -1.585 7.072 C
1.855 -1.585 11.611 C
1.855 3.994 9.342 N
1.855 -3.994 3.114 N
```

***

Calculated volume per entry: 15.692; 46.927; 16.545; 19.480; 25.610; 15.459; 19.490; 13.017; 13.580; 16.412; 19.272; 17.278 A^3/atom